Density functional theory data (PBE) for a relaxed structure of SmEr3O.

Values from the calculation:
**Raw formation energy**: -518 kJ/mol of formula units
**V**: 23.8 A^3/atom
**E_tot**: -5.75 eV/atom

abc: 4.9178 4.9178 4.9178
angles: 90.00 90.00 90.00
Closest atoms and distances in Å follow each position.
Space group Pm-3m (No. 221)
Unique sites:
Sm1 0.0000 0.0000 0.0000 x1  12 Er 3.48
Er1 0.0000 0.5000 0.5000 x3  2 O 2.46
O1 0.5000 0.5000 0.5000 x1  6 Er 2.46